(1)
Entry from Alexandria: a relaxed structure of CdInAgCl6 (PBE-GGA).

Summary:
Its raw formation energy is -937 meV per atom. The value obtained for the density of states at the Fermi level is 0.00 states/eV per atom.

The structure in POSCAR format:
```
CdInAgCl6
1.0
6.656 0.000 0.000
-3.328 5.764 0.000
0.000 0.000 12.168
Cl Ag Cd In
12 2 2 2
direct
0.012 0.655 0.870 Cl
0.655 0.012 0.370 Cl
0.988 0.644 0.370 Cl
0.988 0.345 0.130 Cl
0.644 0.988 0.870 Cl
0.012 0.356 0.630 Cl
0.655 0.644 0.130 Cl
0.644 0.655 0.630 Cl
0.345 0.356 0.870 Cl
0.345 0.988 0.630 Cl
0.356 0.345 0.370 Cl
0.356 0.012 0.130 Cl
0.000 0.000 0.000 Ag
0.000 0.000 0.500 Ag
0.667 0.333 0.750 Cd
0.333 0.667 0.250 Cd
0.667 0.333 0.250 In
0.333 0.667 0.750 In
```

(2)
Entry from Alexandria: a relaxed structure of NaGdCuAu (PBE-GGA).

Summary:
The value obtained for the calculated formation energy is -0.254 eV/atom. The value obtained for the density of states at the Fermi level is 0.77 states/eV per atom.

The structure in POSCAR format:
```
NaGdCuAu
1.0
-2.050 -1.737 4.168
2.740 -0.456 4.108
-0.766 3.042 3.842
Cu Au Gd Na
1 1 1 1
direct
0.250 0.250 0.250 Cu
0.750 0.750 0.750 Au
0.000 0.000 0.000 Gd
0.500 0.500 0.500 Na
```

(3)
Entry from Alexandria: a relaxed structure of MgCr2Ag (PBE-GGA).

Summary:
The value obtained for the calculated formation energy is 0.687 eV/atom. The value obtained for the density of states at the Fermi level is 0.99 states/eV per atom.

The structure in POSCAR format:
```
MgCr2Ag
1.0
2.587 0.051 0.000
-0.571 2.524 0.000
0.000 0.000 9.014
Ag Cr Mg
1 2 1
direct
0.500 0.500 0.750 Ag
0.000 0.000 0.500 Cr
0.000 0.000 0.000 Cr
0.500 0.500 0.250 Mg
```

(4)
Entry from Alexandria: a relaxed structure of KTl2In9 (PBE-GGA).

Summary:
The value obtained for the calculated formation energy is -0.009 eV/atom. The value obtained for the density of states at the Fermi level is 0.43 states/eV per atom.

The structure in POSCAR format:
```
KTl2In9
1.0
-1.667 5.969 1.285
-5.612 2.202 -1.924
-6.746 -0.420 8.789
In Tl K
9 2 1
direct
0.410 0.410 0.258 In
0.665 0.665 0.005 In
0.921 0.410 0.258 In
0.079 0.590 0.742 In
0.410 0.921 0.258 In
0.590 0.079 0.742 In
0.335 0.335 0.995 In
0.590 0.590 0.742 In
0.500 0.500 0.500 In
0.859 0.859 0.423 Tl
0.141 0.141 0.577 Tl
0.000 0.000 0.000 K
```

(5)
Entry from Alexandria: a relaxed structure of Th3Ga4Ag2 (PBE-GGA).

Summary:
The value obtained for the calculated formation energy is -0.442 eV/atom. The value obtained for the density of states at the Fermi level is 0.74 states/eV per atom.

The structure in POSCAR format:
```
Th3Ga4Ag2
1.0
4.545 0.000 0.000
-2.273 5.244 -1.616
0.000 -0.312 8.773
Ga Th Ag
4 3 2
direct
0.927 0.855 0.595 Ga
0.073 0.145 0.405 Ga
0.716 0.432 0.052 Ga
0.284 0.568 0.948 Ga
0.000 0.000 0.000 Th
0.350 0.700 0.319 Th
0.650 0.300 0.681 Th
0.356 0.712 0.691 Ag
0.644 0.288 0.309 Ag
```

(6)
Entry from Alexandria: a relaxed structure of SrTaBe3 (PBE-GGA).

Summary:
The value obtained for the calculated formation energy is 0.967 eV/atom. The value obtained for the density of states at the Fermi level is 1.27 states/eV per atom.

The structure in POSCAR format:
```
SrTaBe3
1.0
4.714 0.000 0.000
0.000 4.714 0.000
0.000 0.000 4.714
Sr Be Ta
1 3 1
direct
0.500 0.500 0.500 Sr
0.500 0.000 0.000 Be
0.000 0.500 0.000 Be
0.000 0.000 0.500 Be
0.000 0.000 0.000 Ta
```

(7)
Entry from Alexandria: a relaxed structure of Th2ZnTc (PBE-GGA).

Summary:
The value obtained for the calculated formation energy is -0.203 eV/atom. The value obtained for the density of states at the Fermi level is 0.84 states/eV per atom.

The structure in POSCAR format:
```
Th2ZnTc
1.0
4.043 0.000 0.000
0.000 5.762 -2.138
0.000 -0.002 8.434
Th Tc Zn
4 2 2
direct
0.250 0.785 0.090 Th
0.750 0.215 0.910 Th
0.250 0.774 0.547 Th
0.750 0.226 0.453 Th
0.750 0.688 0.286 Tc
0.250 0.312 0.714 Tc
0.750 0.649 0.789 Zn
0.250 0.351 0.211 Zn
```

(8)
Entry from Alexandria: a relaxed structure of Ti2CoGeH (PBE-GGA).

Summary:
The value obtained for the total energy is -6.637 eV per atom. The value obtained for the density of states at the Fermi level is 0.73 states/eV per atom.

The structure in POSCAR format:
```
Ti2CoGeH
1.0
-0.347 -2.985 2.626
-1.198 -2.435 -2.926
3.507 -0.964 -0.633
Ti Co H Ge
2 1 1 1
direct
0.000 0.500 0.000 Ti
0.500 0.000 0.000 Ti
0.000 0.000 0.500 Co
0.000 0.000 0.000 H
0.500 0.500 0.500 Ge
```

(9)
Entry from Alexandria: a relaxed structure of K5Tl2O4 (PBE-GGA).

Summary:
Its raw formation energy is -627 meV per atom. The value obtained for the density of states at the Fermi level is 1.14 states/eV per atom.

The structure in POSCAR format:
```
K5Tl2O4
1.0
4.790 0.000 0.000
0.000 6.996 0.000
-2.395 -3.498 12.825
Tl O K
2 4 5
direct
0.926 0.926 0.852 Tl
0.074 0.074 0.148 Tl
0.729 0.729 0.458 O
0.271 0.271 0.542 O
0.000 0.816 0.000 O
0.000 0.184 0.000 O
0.500 0.000 0.000 K
0.204 0.478 0.407 K
0.796 0.522 0.593 K
0.796 0.071 0.593 K
0.204 0.929 0.407 K
```

(10)
Entry from Alexandria: a relaxed structure of Ba2MgCuHg (PBE-GGA).

Summary:
The value obtained for the calculated formation energy is -0.106 eV/atom. The value obtained for the density of states at the Fermi level is 0.55 states/eV per atom.

The structure in POSCAR format:
```
Ba2MgCuHg
1.0
-4.125 -3.083 3.397
4.586 -2.670 3.145
-0.083 3.748 3.301
Cu Ba Mg Hg
1 2 1 1
direct
0.000 0.000 0.000 Cu
0.500 0.000 0.000 Ba
0.000 0.500 0.000 Ba
0.000 0.000 0.500 Mg
0.500 0.500 0.500 Hg
```

(11)
Entry from Alexandria: a relaxed structure of In3RePd (PBE-GGA).

Summary:
The value obtained for the calculated formation energy is 0.980 eV/atom. The value obtained for the density of states at the Fermi level is 0.49 states/eV per atom.

The structure in POSCAR format:
```
In3RePd
1.0
-1.794 -4.585 -1.243
0.927 -1.641 4.716
-4.659 1.440 1.417
In Pd Re
3 1 1
direct
0.000 0.500 0.000 In
0.000 0.000 0.500 In
0.500 0.000 0.000 In
0.000 0.000 0.000 Pd
0.500 0.500 0.500 Re
```

(12)
Entry from Alexandria: a relaxed structure of Sm2Ho5Pd4 (PBE-GGA).

Summary:
The value obtained for the calculated formation energy is -0.408 eV/atom. The value obtained for the density of states at the Fermi level is 0.95 states/eV per atom.

The structure in POSCAR format:
```
Sm2Ho5Pd4
1.0
-2.453 -1.499 -2.179
4.817 -3.918 -2.727
-0.515 -8.316 9.289
Ho Pd Sm
5 4 2
direct
0.867 0.185 0.733 Ho
0.500 0.000 0.000 Ho
0.133 0.815 0.267 Ho
0.763 0.752 0.526 Ho
0.237 0.248 0.474 Ho
0.026 0.687 0.052 Pd
0.673 0.506 0.346 Pd
0.327 0.494 0.654 Pd
0.974 0.313 0.948 Pd
0.093 0.324 0.186 Sm
0.907 0.676 0.814 Sm
```

(13)
Entry from Alexandria: a relaxed structure of CuHg2As (PBE-GGA).

Summary:
The value obtained for the calculated formation energy is 0.128 eV/atom. The value obtained for the density of states at the Fermi level is 0.03 states/eV per atom.

The structure in POSCAR format:
```
CuHg2As
1.0
3.090 0.000 0.000
0.000 3.690 0.000
0.000 0.000 8.262
Cu Hg As
1 2 1
direct
0.500 0.500 0.583 Cu
0.000 0.000 0.995 Hg
0.500 0.500 0.260 Hg
0.000 0.000 0.662 As
```

(14)
Entry from Alexandria: a relaxed structure of LiTiSb2 (PBE-GGA).

Summary:
Its raw formation energy is -209 meV per atom. The value obtained for the density of states at the Fermi level is 0.82 states/eV per atom.

The structure in POSCAR format:
```
LiTiSb2
1.0
-3.922 -2.464 1.654
-3.212 2.214 2.996
-4.495 1.150 -1.632
Sb Ti Li
2 1 1
direct
0.250 0.250 0.250 Sb
0.750 0.750 0.750 Sb
0.500 0.500 0.500 Ti
0.000 0.000 0.000 Li
```

(15)
Entry from Alexandria: a relaxed structure of LaPm4Pr2Er (PBE-GGA).

Summary:
The value obtained for the calculated formation energy is 0.017 eV/atom. The value obtained for the density of states at the Fermi level is 1.58 states/eV per atom.

The structure in POSCAR format:
```
LaPm4Pr2Er
1.0
-6.459 10.408 -3.395
-5.923 -2.550 3.436
10.070 -4.687 6.155
Pr Pm La Er
4 8 2 2
direct
0.500 0.000 0.000 Pr
0.500 0.500 0.000 Pr
0.500 0.000 0.500 Pr
0.000 0.000 0.500 Pr
0.749 0.750 0.503 Pm
0.751 0.250 0.999 Pm
0.749 0.251 0.501 Pm
0.249 0.750 0.001 Pm
0.251 0.749 0.499 Pm
0.751 0.750 0.997 Pm
0.249 0.250 0.003 Pm
0.251 0.250 0.497 Pm
0.000 0.500 0.000 La
0.000 0.500 0.500 La
0.000 0.000 0.000 Er
0.500 0.500 0.500 Er
```

(16)
Entry from Alexandria: a relaxed structure of Ba2ReTc (PBE-GGA).

Summary:
The value obtained for the calculated formation energy is 0.654 eV/atom. The value obtained for the density of states at the Fermi level is 0.96 states/eV per atom.

The structure in POSCAR format:
```
Ba2ReTc
1.0
-7.752 2.858 -5.716
-6.668 -1.919 -7.265
5.583 -1.434 8.228
Ba Re Tc
2 1 1
direct
0.106 0.106 0.000 Ba
0.394 0.394 0.000 Ba
0.750 0.250 0.500 Re
0.250 0.750 0.500 Tc
```

(17)
Entry from Alexandria: a relaxed structure of Ta12ReW6 (PBE-GGA).

Summary:
The value obtained for the calculated formation energy is 0.274 eV/atom. The value obtained for the density of states at the Fermi level is 0.97 states/eV per atom.

The structure in POSCAR format:
```
Ta12ReW6
1.0
7.198 -0.145 -0.173
-1.234 7.093 -0.173
-1.234 -1.438 6.948
Ta W Re
12 6 1
direct
0.674 0.106 0.106 Ta
0.329 0.071 0.329 Ta
0.671 0.929 0.671 Ta
0.929 0.671 0.671 Ta
0.671 0.671 0.929 Ta
0.326 0.894 0.894 Ta
0.894 0.894 0.326 Ta
0.329 0.329 0.071 Ta
0.106 0.106 0.674 Ta
0.106 0.674 0.106 Ta
0.894 0.326 0.894 Ta
0.071 0.329 0.329 Ta
0.500 0.239 0.761 W
0.239 0.761 0.500 W
0.761 0.500 0.239 W
0.239 0.500 0.761 W
0.761 0.239 0.500 W
0.500 0.761 0.239 W
0.000 0.000 0.000 Re
```

(18)
Entry from Alexandria: a relaxed structure of RbNpTe3 (PBE-GGA).

Summary:
Its raw formation energy is -671 meV per atom. The value obtained for the density of states at the Fermi level is 2.19 states/eV per atom.

The structure in POSCAR format:
```
RbNpTe3
1.0
4.321 0.000 0.000
0.000 9.034 0.000
0.000 0.000 9.350
Te Np Rb
6 2 2
direct
0.250 0.250 0.762 Te
0.250 0.068 0.172 Te
0.250 0.432 0.172 Te
0.750 0.750 0.238 Te
0.750 0.568 0.828 Te
0.750 0.932 0.828 Te
0.250 0.750 0.010 Np
0.750 0.250 0.990 Np
0.750 0.250 0.451 Rb
0.250 0.750 0.549 Rb
```

(19)
Entry from Alexandria: a relaxed structure of Sn3Rh2S3 (PBE-GGA).

Summary:
Its raw formation energy is -554 meV per atom.

The structure in POSCAR format:
```
Sn3Rh2S3
1.0
-2.022 6.362 5.726
-8.553 -1.686 -1.166
0.239 -5.829 6.581
S Rh Sn
12 8 12
direct
0.999 0.149 0.349 S
0.152 0.498 0.648 S
0.851 0.349 0.999 S
0.352 0.152 0.502 S
0.848 0.502 0.352 S
0.498 0.352 0.848 S
0.648 0.848 0.498 S
0.149 0.651 0.001 S
0.001 0.851 0.651 S
0.502 0.648 0.152 S
0.651 0.999 0.851 S
0.349 0.001 0.149 S
0.741 0.741 0.259 Rh
0.244 0.237 0.259 Rh
0.237 0.741 0.756 Rh
0.763 0.259 0.244 Rh
0.756 0.763 0.741 Rh
0.259 0.756 0.237 Rh
0.741 0.244 0.763 Rh
0.259 0.259 0.741 Rh
0.160 0.501 0.354 Sn
0.354 0.840 0.501 Sn
0.000 0.855 0.339 Sn
0.145 0.339 0.000 Sn
0.000 0.145 0.661 Sn
0.661 0.000 0.145 Sn
0.501 0.646 0.840 Sn
0.499 0.354 0.160 Sn
0.339 0.000 0.855 Sn
0.646 0.160 0.499 Sn
0.840 0.499 0.646 Sn
0.855 0.661 0.000 Sn
```

(20)
Entry from Alexandria: a relaxed structure of MgTl2Pb12 (PBE-GGA).

Summary:
The value obtained for the calculated formation energy is 0.080 eV/atom. The value obtained for the density of states at the Fermi level is 0.40 states/eV per atom.

The structure in POSCAR format:
```
MgTl2Pb12
1.0
6.704 0.000 0.000
0.000 6.704 0.000
0.000 0.000 22.554
Pb Tl Mg
24 4 2
direct
0.750 0.750 0.090 Pb
0.500 0.500 0.811 Pb
0.250 0.250 0.090 Pb
0.187 0.313 0.431 Pb
0.000 0.000 0.668 Pb
0.750 0.250 0.910 Pb
0.813 0.313 0.569 Pb
0.000 0.000 0.189 Pb
0.687 0.187 0.431 Pb
0.500 0.500 0.189 Pb
0.187 0.687 0.569 Pb
0.313 0.813 0.431 Pb
0.500 0.500 0.332 Pb
0.813 0.687 0.431 Pb
0.250 0.750 0.090 Pb
0.250 0.750 0.910 Pb
0.000 0.000 0.332 Pb
0.750 0.750 0.910 Pb
0.687 0.813 0.569 Pb
0.313 0.187 0.569 Pb
0.750 0.250 0.090 Pb
0.000 0.000 0.811 Pb
0.500 0.500 0.668 Pb
0.250 0.250 0.910 Pb
0.500 0.000 0.729 Tl
0.000 0.500 0.729 Tl
0.000 0.500 0.271 Tl
0.500 0.000 0.271 Tl
0.500 0.000 0.000 Mg
0.000 0.500 0.000 Mg
```

(21)
Entry from Alexandria: a relaxed structure of SiB3C (PBE-GGA).

Summary:
Its raw formation energy is 363 meV per atom. The value obtained for the density of states at the Fermi level is 0.18 states/eV per atom.

The structure in POSCAR format:
```
SiB3C
1.0
-2.215 -0.851 -1.386
-0.387 -2.323 2.031
-3.555 2.852 3.485
B Si C
3 1 1
direct
0.251 0.780 0.485 B
0.231 0.699 0.202 B
0.208 0.224 0.087 B
0.726 0.265 0.812 Si
0.739 0.805 0.619 C
```

(22)
Entry from Alexandria: a relaxed structure of TlCd2Cl (PBE-GGA).

Summary:
Its raw formation energy is -150 meV per atom. The value obtained for the density of states at the Fermi level is 0.11 states/eV per atom.

The structure in POSCAR format:
```
TlCd2Cl
1.0
-1.567 -4.990 1.526
-3.907 -2.595 -2.771
1.253 -4.311 -3.086
Cd Tl Cl
2 1 1
direct
0.250 0.250 0.250 Cd
0.750 0.750 0.750 Cd
0.500 0.500 0.500 Tl
0.000 0.000 0.000 Cl
```